Entry 1:
The following is a DFT calculation (PBE) of a geometry-optimized BeMoPt structure.

Computed properties:
polymorph energy (0 for the lowest one) = 84 meV per atom
SG = C2/m, No. 12

a = 10.3909 Å, b = 2.7491 Å, c = 5.7352 Å
α = 90.00°, β = 105.99°, γ = 90.00°
Last column: nearest neighbours and their distance in Å.
Atoms (fractional coordinates):
Be: 0.1690 0.0000 0.0445  3 Pt 2.30-2.38, 2 Be 2.34, 2 Mo 2.54
Be: 0.3310 0.5000 0.9555  3 Pt 2.30-2.38, 2 Be 2.34, 2 Mo 2.54
Be: 0.6690 0.5000 0.0445  3 Pt 2.30-2.38, 2 Be 2.34, 2 Mo 2.54
Be: 0.8310 0.0000 0.9555  3 Pt 2.30-2.38, 2 Be 2.34, 2 Mo 2.54
Mo: 0.0222 0.5000 0.2427  4 Be 2.54-2.60, 3 Mo 2.69-2.75, 2 Pt 2.78
Mo: 0.4778 0.0000 0.7573  4 Be 2.54-2.60, 3 Mo 2.69-2.75, 2 Pt 2.78
Mo: 0.5222 0.0000 0.2427  4 Be 2.54-2.60, 3 Mo 2.69-2.75, 2 Pt 2.78
Mo: 0.9778 0.5000 0.7573  4 Be 2.54-2.60, 3 Mo 2.69-2.75, 2 Pt 2.78
Pt: 0.1878 0.0000 0.6546  3 Be 2.30-2.38
Pt: 0.3122 0.5000 0.3454  3 Be 2.30-2.38
Pt: 0.6878 0.5000 0.6546  3 Be 2.30-2.38
Pt: 0.8122 0.0000 0.3454  3 Be 2.30-2.38

=====

Entry 2:
The following is a DFT calculation (PBE) of a geometry-optimized Tb4Ga5Si2 structure.

Computed properties:
E_form (uncorrected) = -7.10 eV per formula unit
SG = P2/m, No. 10

a = 6.9835 Å, b = 4.2443 Å, c = 7.9509 Å
α = 90.00°, β = 90.47°, γ = 90.00°
Last column: nearest neighbours and their distance in Å.
Atoms (fractional coordinates):
Tb: 0.2198 0.0000 0.3631  2 Si 2.98, 8 Ga 3.03-3.22
Tb: 0.2432 0.0000 0.8910  4 Si 3.06-3.11, 6 Ga 3.07-3.30
Tb: 0.7568 0.0000 0.1090  4 Si 3.06-3.11, 6 Ga 3.07-3.30
Tb: 0.7802 0.0000 0.6369  2 Si 2.98, 8 Ga 3.03-3.22
Ga: 0.1263 0.5000 0.6215  1 Si 2.47, 1 Ga 2.61
Ga: 0.4435 0.5000 0.1566  1 Si 2.53, 2 Ga 2.62-2.76
Ga: 0.5000 0.5000 0.5000  4 Ga 2.76-2.79, 4 Tb 3.08
Ga: 0.5565 0.5000 0.8434  1 Si 2.53, 2 Ga 2.62-2.76
Ga: 0.8737 0.5000 0.3785  1 Si 2.47, 1 Ga 2.61
Si: 0.0822 0.5000 0.1286  1 Si 2.34, 2 Ga 2.47-2.53
Si: 0.9178 0.5000 0.8714  1 Si 2.34, 2 Ga 2.47-2.53

=====

Entry 3:
The following is a DFT calculation (PBE) of a geometry-optimized UNi5H11 structure.

Computed properties:
DFT total energy = -4.536 eV/atom
SG = C2/m, No. 12

a = 5.4548 Å, b = 5.4548 Å, c = 5.0556 Å
α = 102.74°, β = 102.74°, γ = 108.06°
Last column: nearest neighbours and their distance in Å.
Atoms (fractional coordinates):
U: 0.0000 0.0000 0.0000  10 H 2.36-2.53
Ni: 0.0646 0.3550 0.6365  5 H 1.61-1.80
Ni: 0.3550 0.0646 0.6365  5 H 1.61-1.80
Ni: 0.5000 0.5000 0.0000  6 H 1.65-1.69
Ni: 0.6450 0.9354 0.3635  5 H 1.61-1.80
Ni: 0.9354 0.6450 0.3635  5 H 1.61-1.80
H: 0.0000 0.0000 0.5000  4 Ni 1.80
H: 0.1331 0.6914 0.6731  2 Ni 1.61-1.71
H: 0.1829 0.4482 0.9880  2 Ni 1.65
H: 0.3086 0.8669 0.3269  2 Ni 1.61-1.71
H: 0.3874 0.3874 0.6396  3 Ni 1.69-1.71
H: 0.4482 0.1829 0.9880  2 Ni 1.65
H: 0.5518 0.8171 0.0120  2 Ni 1.65
H: 0.6126 0.6126 0.3604  3 Ni 1.69-1.71
H: 0.6914 0.1331 0.6731  2 Ni 1.61-1.71
H: 0.8171 0.5518 0.0120  2 Ni 1.65
H: 0.8669 0.3086 0.3269  2 Ni 1.61-1.71

=====

Entry 4:
The following is a DFT calculation (PBE) of a geometry-optimized CaLa2Re structure.

Computed properties:
polymorph energy (0 for the lowest one) = 341 meV per atom
SG = I-4m2, No. 119

a = 4.8625 Å, b = 4.8625 Å, c = 8.9349 Å
α = 90.00°, β = 90.00°, γ = 90.00°
Last column: nearest neighbours and their distance in Å.
Atoms (fractional coordinates):
Ca: 0.0000 0.0000 0.0000  8 La 3.30-3.44, 4 Re 3.30
Ca: 0.5000 0.5000 0.5000  8 La 3.30-3.44, 4 Re 3.30
La: 0.0000 0.0000 0.5000  4 La 3.30, 4 Re 3.30, 4 Ca 3.44
La: 0.0000 0.5000 0.7500  4 La 3.30, 4 Ca 3.30, 4 Re 3.44
La: 0.5000 0.0000 0.2500  4 La 3.30, 4 Ca 3.30, 4 Re 3.44
La: 0.5000 0.5000 0.0000  4 La 3.30, 4 Re 3.30, 4 Ca 3.44
Re: 0.0000 0.5000 0.2500  8 La 3.30-3.44, 4 Ca 3.30
Re: 0.5000 0.0000 0.7500  8 La 3.30-3.44, 4 Ca 3.30

=====

Entry 5:
The following is a DFT calculation (PBE) of a geometry-optimized LiHoTmAu structure.

Computed properties:
DFT total energy = -3.982 eV/atom
SG = F-43m, No. 216

a = 7.1426 Å, b = 7.1426 Å, c = 7.1426 Å
α = 90.00°, β = 90.00°, γ = 90.00°
Last column: nearest neighbours and their distance in Å.
Atoms (fractional coordinates):
Li: 0.0000 0.0000 0.0000  4 Tm 3.09, 4 Ho 3.09
Li: 0.0000 0.5000 0.5000  4 Tm 3.09, 4 Ho 3.09
Li: 0.5000 0.0000 0.5000  4 Tm 3.09, 4 Ho 3.09
Li: 0.5000 0.5000 0.0000  4 Tm 3.09, 4 Ho 3.09
Ho: 0.2500 0.2500 0.7500  4 Li 3.09, 4 Au 3.09
Ho: 0.2500 0.7500 0.2500  4 Li 3.09, 4 Au 3.09
Ho: 0.7500 0.2500 0.2500  4 Li 3.09, 4 Au 3.09
Ho: 0.7500 0.7500 0.7500  4 Li 3.09, 4 Au 3.09
Tm: 0.2500 0.2500 0.2500  4 Au 3.09, 4 Li 3.09
Tm: 0.2500 0.7500 0.7500  4 Li 3.09, 4 Au 3.09
Tm: 0.7500 0.2500 0.7500  4 Li 3.09, 4 Au 3.09
Tm: 0.7500 0.7500 0.2500  4 Li 3.09, 4 Au 3.09
Au: 0.0000 0.0000 0.5000  4 Ho 3.09, 4 Tm 3.09
Au: 0.0000 0.5000 0.0000  4 Ho 3.09, 4 Tm 3.09
Au: 0.5000 0.0000 0.0000  4 Ho 3.09, 4 Tm 3.09
Au: 0.5000 0.5000 0.5000  4 Ho 3.09, 4 Tm 3.09

=====

Entry 6:
The following is a DFT calculation (PBE) of a geometry-optimized Sr2YIr structure.

Computed properties:
polymorph energy (0 for the lowest one) = 436 meV per atom
SG = P4/mmm, No. 123

a = 3.5886 Å, b = 3.5886 Å, c = 10.0253 Å
α = 90.00°, β = 90.00°, γ = 90.00°
Last column: nearest neighbours and their distance in Å.
Atoms (fractional coordinates):
Sr: 0.0000 0.0000 0.1776  4 Ir 3.10
Sr: 0.0000 0.0000 0.8224  4 Ir 3.10
Y: 0.5000 0.5000 0.5000  4 Y 3.59
Ir: 0.5000 0.5000 0.0000  8 Sr 3.10